First-principles (GGA+U) data for CoSnSO after structural relaxation, as listed in the Open Quantum Materials Database.

Energy above the most stable polymorph in this dataset, meV per atom: 749

Unit cell a=4.2228 b=4.2228 c=7.8518 alpha=90.00 beta=90.00 gamma=90.00
With the nearest neighbours (Å) after each atom.
Fractional coordinates of all 8 atoms:
Sn (0.7500, 0.2500, 0.0000)  4 Co 2.85, 4 Sn 2.99
S (0.2500, 0.2500, 0.3148)  1 O 1.53
O (0.2500, 0.2500, 0.5100)  1 S 1.53
Co (0.7500, 0.7500, 0.2443)  1 O 1.93
Co (0.2500, 0.2500, 0.7557)  1 O 1.93
O (0.7500, 0.7500, 0.4900)  1 S 1.53
Sn (0.2500, 0.7500, 0.0000)  4 Co 2.85, 4 Sn 2.99
S (0.7500, 0.7500, 0.6852)  1 O 1.53